Version a
{"formula": "TiCdSb2I", "functional": "PBE", "state": "relaxed", "spacegroup": "No. 123", "total_magnetization_mub_per_fu": 0.1, "rho_g_cm3": 5.1, "n_ef_per_ev_cell": 8.921, "cell": [[5.415, 0.000, 0.000], [0.000, 5.415, 0.000], [0.000, 0.000, 5.847]], "species": ["I", "Sb", "Sb", "Ti", "Cd"], "fractional_positions": [[0.000, 0.000, 0.500], [0.000, 0.500, 0.000], [0.500, 0.000, 0.000], [0.500, 0.500, 0.500], [0.000, 0.000, 0.000]]}

Version b
{"formula": "TiCdSb2I", "functional": "PBE", "state": "relaxed", "spacegroup": "No. 123", "total_magnetization_mub_per_fu": 0.0, "rho_g_cm3": 5.6, "n_ef_per_ev_cell": 4.823, "cell": [[5.331, 0.000, 0.000], [0.000, 5.331, 0.000], [0.000, 0.000, 5.577]], "species": ["I", "Sb", "Sb", "Ti", "Cd"], "fractional_positions": [[0.000, 0.000, 0.500], [0.000, 0.500, 0.000], [0.500, 0.000, 0.000], [0.000, 0.000, 0.000], [0.500, 0.500, 0.500]]}

Short version: version a is the least stable of them.

Version a
{"formula": "VCdSb2I", "functional": "PBE", "state": "relaxed", "spacegroup": "No. 123", "total_magnetization_mub_per_fu": 0.3, "rho_g_cm3": 5.1, "n_ef_per_ev_cell": 9.173, "cell": [[-4.510, -0.010, -3.044], [-2.578, -2.880, 3.829], [-1.737, 4.956, 2.558]], "species": ["I", "Sb", "Sb", "V", "Cd"], "fractional_positions": [[0.000, 0.000, 0.500], [0.000, 0.500, 0.000], [0.500, 0.000, 0.000], [0.500, 0.500, 0.500], [0.000, 0.000, 0.000]]}

Version b
{"formula": "VCdSb2I", "functional": "PBE", "state": "relaxed", "spacegroup": "No. 123", "total_magnetization_mub_per_fu": 0.4, "rho_g_cm3": 5.8, "n_ef_per_ev_cell": 2.311, "cell": [[5.085, 0.000, 0.000], [0.000, 5.085, 0.000], [0.000, 0.000, 5.921]], "species": ["I", "Sb", "Sb", "V", "Cd"], "fractional_positions": [[0.000, 0.000, 0.500], [0.000, 0.500, 0.000], [0.500, 0.000, 0.000], [0.000, 0.000, 0.000], [0.500, 0.500, 0.500]]}

Short version: version a is the least stable of them.

Version a
{"formula": "CdSbWI2", "functional": "PBE", "state": "relaxed", "spacegroup": "No. 123", "total_magnetization_mub_per_fu": 3.7, "rho_g_cm3": 6.0, "n_ef_per_ev_cell": 7.170, "cell": [[-5.512, -0.461, -1.409], [1.471, -2.403, -4.964], [-0.193, -5.168, 2.445]], "species": ["I", "I", "Sb", "W", "Cd"], "fractional_positions": [[0.000, 0.500, 0.000], [0.500, 0.000, 0.000], [0.000, 0.000, 0.500], [0.500, 0.500, 0.500], [0.000, 0.000, 0.000]]}

Version b
{"formula": "CdSbWI2", "functional": "PBE", "state": "relaxed", "spacegroup": "No. 123", "total_magnetization_mub_per_fu": 0.9, "rho_g_cm3": 6.7, "n_ef_per_ev_cell": 4.687, "cell": [[5.626, 0.000, 0.000], [0.000, 5.626, 0.000], [0.000, 0.000, 5.281]], "species": ["I", "I", "Sb", "W", "Cd"], "fractional_positions": [[0.000, 0.500, 0.000], [0.500, 0.000, 0.000], [0.000, 0.000, 0.500], [0.000, 0.000, 0.000], [0.500, 0.500, 0.500]]}

Short version: version a is the least stable of them.

Version a
{"formula": "YCdSbI2", "functional": "PBE", "state": "relaxed", "spacegroup": "No. 123", "total_magnetization_mub_per_fu": 0.0, "rho_g_cm3": 4.4, "n_ef_per_ev_cell": 4.435, "cell": [[-1.730, 1.690, 5.409], [4.613, -2.865, 2.370], [3.419, 5.093, -0.498]], "species": ["I", "I", "Sb", "Y", "Cd"], "fractional_positions": [[0.000, 0.500, 0.000], [0.500, 0.000, 0.000], [0.000, 0.000, 0.500], [0.000, 0.000, 0.000], [0.500, 0.500, 0.500]]}

Version b
{"formula": "YCdSbI2", "functional": "PBE", "state": "relaxed", "spacegroup": "No. 123", "total_magnetization_mub_per_fu": 0.0, "rho_g_cm3": 4.2, "n_ef_per_ev_cell": 3.138, "cell": [[-0.119, 3.731, -5.050], [-3.558, -3.749, -2.686], [-4.971, 3.030, 2.356]], "species": ["I", "I", "Sb", "Y", "Cd"], "fractional_positions": [[0.000, 0.000, 0.500], [0.500, 0.000, 0.000], [0.000, 0.000, 0.000], [0.000, 0.500, 0.000], [0.500, 0.500, 0.500]]}

Short version: version b is the least stable of them.

Version a
{"formula": "ScCdI2", "functional": "PBE", "state": "relaxed", "spacegroup": "No. 122", "total_magnetization_mub_per_fu": 0.0, "rho_g_cm3": 4.2, "n_ef_per_ev_cell": 5.611, "cell": [[10.354, 0.000, 0.000], [0.000, 10.354, 0.000], [5.177, 5.177, 3.052]], "species": ["I", "I", "I", "I", "Sc", "Sc", "Cd", "Cd"], "fractional_positions": [[0.480, 0.125, 0.250], [0.270, 0.625, 0.250], [0.375, 0.520, 0.750], [0.875, 0.730, 0.750], [0.500, 0.500, 0.000], [0.250, 0.750, 0.500], [0.000, 0.000, 0.000], [0.750, 0.250, 0.500]]}

Version b
{"formula": "ScCdI2", "functional": "PBE", "state": "relaxed", "spacegroup": "No. 225", "total_magnetization_mub_per_fu": 1.0, "rho_g_cm3": 5.9, "n_ef_per_ev_cell": 4.351, "cell": [[3.595, 1.682, 3.770], [-0.480, -1.688, 5.185], [3.636, -3.524, 2.079]], "species": ["I", "I", "Sc", "Cd"], "fractional_positions": [[0.250, 0.250, 0.250], [0.750, 0.750, 0.750], [0.000, 0.000, 0.000], [0.500, 0.500, 0.500]]}

Short version: version b is the least stable of them.

Version a
{"formula": "Sc3CdI", "functional": "PBE", "state": "relaxed", "spacegroup": "No. 221", "total_magnetization_mub_per_fu": 0.0, "rho_g_cm3": 4.3, "n_ef_per_ev_cell": 2.233, "cell": [[-1.072, -5.132, 0.372], [3.344, -0.407, 4.034], [-3.910, 1.059, 3.348]], "species": ["I", "Sc", "Sc", "Sc", "Cd"], "fractional_positions": [[0.000, 0.000, 0.000], [0.000, 0.500, 0.000], [0.000, 0.000, 0.500], [0.500, 0.000, 0.000], [0.500, 0.500, 0.500]]}

Version b
{"formula": "Sc3CdI", "functional": "PBE", "state": "relaxed", "spacegroup": "No. 221", "total_magnetization_mub_per_fu": 0.1, "rho_g_cm3": 4.0, "n_ef_per_ev_cell": 9.080, "cell": [[-4.867, 0.309, -2.234], [0.575, -4.967, -1.942], [-2.181, -2.001, 4.473]], "species": ["I", "Sc", "Sc", "Sc", "Cd"], "fractional_positions": [[0.500, 0.500, 0.500], [0.000, 0.500, 0.000], [0.000, 0.000, 0.500], [0.500, 0.000, 0.000], [0.000, 0.000, 0.000]]}

Short version: version b is the least stable of them.